No. 1
Computed, not measured: a relaxed SiAgAu2 crystal at the GGA-PBE level of DFT.

Summary:
Formation energy (no corrections) ... 0.109 eV per atom
Symmetry ... Imm2, No. 44

Unit cell a=5.360 b=5.360 c=5.360 alpha=142.48 beta=131.23 gamma=63.11
Fractional coordinates of all 4 atoms:
Au1 0.992 0.992 0.000
Au2 0.720 0.220 0.500
Si1 0.513 0.513 0.000
Ag1 0.276 0.776 0.500

=====

No. 2
Computed, not measured: a relaxed SiAgAu2 crystal at the GGA-PBE level of DFT.

Summary:
Formation energy (no corrections) ... 0.068 eV per atom
Symmetry ... Pm, No. 6

Unit cell a=4.707 b=2.975 c=5.923 alpha=59.95 beta=90.00 gamma=90.00
Fractional coordinates of all 4 atoms:
Si1 0.000 0.402 0.474
Ag1 0.500 0.596 0.778
Au1 0.000 0.917 0.958
Au2 0.500 0.584 0.289

=====

No. 3
Computed, not measured: a relaxed SiAg2Au crystal at the GGA-PBE level of DFT.

Summary:
Formation energy (no corrections) ... 0.143 eV per atom
Symmetry ... R-3m, No. 166

Unit cell a=9.239 b=9.239 c=9.239 alpha=18.45 beta=18.45 gamma=18.45
Fractional coordinates of all 4 atoms:
Si1 0.250 0.250 0.250
Au1 0.750 0.750 0.750
Ag1 0.995 0.995 0.995
Ag2 0.505 0.505 0.505

=====

No. 4
Computed, not measured: a relaxed Si2AgAu crystal at the GGA-PBE level of DFT.

Summary:
Formation energy (no corrections) ... 0.150 eV per atom
Symmetry ... Cm, No. 8
Distance to the lowest polymorph of the same formula ... 0 meV per atom

Unit cell a=6.583 b=6.583 c=4.155 alpha=94.26 beta=94.26 gamma=24.55
Fractional coordinates of all 4 atoms:
Au1 0.768 0.768 0.656
Ag1 0.479 0.479 0.593
Si1 0.035 0.035 0.107
Si2 0.218 0.218 0.144

=====

no.,total energy (eV/atom),Fermi-level density of states (states/eV/f.u.)
1,-3.60,1.05
2,-3.64,1.42
3,-3.46,1.37
4,-4.09,0.86